Model i:
Computed, not measured: a relaxed Ac2Si3Ir crystal at the PBE level of DFT.

Cell lengths 6.2241, 6.2241, 8.6064 Å; angles 112.99, 112.99, 85.40 degrees
Last column: nearest neighbours and their distance in Å.
Atoms (fractional coordinates):
1 Ac 0.2500 0.7500 0.5000  8 Si 3.33-3.34, 4 Ir 3.34
2 Ac 0.7454 0.7454 0.0000  2 Ir 3.30, 10 Si 3.32-3.38
3 Ac 0.7500 0.2500 0.5000  8 Si 3.33-3.34, 4 Ir 3.34
4 Ac 0.2546 0.2546 0.0000  2 Ir 3.30, 10 Si 3.32-3.38
5 Si 0.6666 0.1655 0.8321  1 Ir 2.43, 2 Si 2.43-2.45
6 Si 0.8345 0.3334 0.1679  1 Ir 2.43, 2 Si 2.43-2.45
7 Si 0.3334 0.8345 0.1679  1 Ir 2.43, 2 Si 2.43-2.45
8 Si 0.1655 0.6666 0.8321  1 Ir 2.43, 2 Si 2.43-2.45
9 Si 0.8324 0.8324 0.6649  1 Ir 2.42, 2 Si 2.43
10 Si 0.1676 0.1676 0.3351  1 Ir 2.42, 2 Si 2.43
11 Ir 0.3338 0.3338 0.6675  3 Si 2.42-2.43
12 Ir 0.6662 0.6662 0.3325  3 Si 2.42-2.43

Fermi-level density of states in states/eV/f.u.: 2.609
Space-group type: Fmmm



Model ii:
Computed, not measured: a relaxed Ac2Si3Ir crystal at the PBE level of DFT.

Cell lengths 4.5830, 4.2235, 7.3130 Å; angles 90.00, 90.00, 90.00 degrees
Last column: nearest neighbours and their distance in Å.
Atoms (fractional coordinates):
1 Ac 0.0000 0.5000 0.0048  2 Ir 3.31, 10 Si 3.34-3.41
2 Ac 0.0000 0.0000 0.4953  8 Si 3.30-3.39, 4 Ir 3.34
3 Si 0.5000 0.0000 0.8375  3 Si 2.44-2.48
4 Si 0.5000 0.0000 0.1711  2 Ir 2.41, 1 Si 2.44
5 Si 0.5000 0.5000 0.6604  1 Ir 2.41, 2 Si 2.48
6 Ir 0.5000 0.5000 0.3309  3 Si 2.41

Fermi-level density of states in states/eV/f.u.: 4.046
Space-group type: Pmm2



Which is the most stable structure? model i is the most stable.



Model i:
Computed, not measured: a relaxed Ac3Si4Ir4 crystal at the PBE level of DFT.

Cell lengths 4.2025, 4.3416, 12.9404 Å; angles 99.66, 99.35, 90.00 degrees
Last column: nearest neighbours and their distance in Å.
Atoms (fractional coordinates):
1 Ac 0.3555 0.8555 0.7111  8 Ir 3.21-3.44, 6 Si 3.24-3.33
2 Ac 0.6445 0.1445 0.2889  8 Ir 3.21-3.44, 6 Si 3.24-3.33
3 Ac 0.0000 0.0000 0.0000  8 Si 3.26, 4 Ir 3.34
4 Si 0.7998 0.2998 0.5996  5 Ir 2.46-2.50
5 Si 0.4512 0.4512 0.9025  1 Si 2.45, 2 Ir 2.48
6 Si 0.5488 0.5488 0.0975  1 Si 2.45, 2 Ir 2.48
7 Si 0.2002 0.7002 0.4004  5 Ir 2.46-2.50
8 Ir 0.2493 0.2493 0.4986  4 Si 2.46-2.50
9 Ir 0.1008 0.6008 0.2016  3 Si 2.48-2.50
10 Ir 0.8992 0.3992 0.7984  3 Si 2.48-2.50
11 Ir 0.7507 0.7507 0.5014  4 Si 2.46-2.50

Fermi-level density of states in states/eV/f.u.: 5.117
Space-group type: Immm



Model ii:
Computed, not measured: a relaxed Ac3Si4Ir4 crystal at the PBE level of DFT.

Cell lengths 4.4680, 4.2653, 12.7067 Å; angles 80.36, 79.86, 89.96 degrees
Last column: nearest neighbours and their distance in Å.
Atoms (fractional coordinates):
1 Ac 0.1480 0.6479 0.7044  6 Ir 3.19-3.36, 8 Si 3.28-3.39
2 Ac 0.8520 0.3521 0.2956  6 Ir 3.19-3.36, 8 Si 3.28-3.39
3 Ac 0.0000 0.0000 0.0000  4 Si 3.37, 8 Ir 3.37-3.38
4 Si 0.6024 0.1020 0.7955  3 Ir 2.43-2.44
5 Si 0.2494 0.2493 0.5021  4 Ir 2.46-2.52
6 Si 0.7507 0.7507 0.4979  4 Ir 2.46-2.52
7 Si 0.3976 0.8981 0.2045  3 Ir 2.43-2.44
8 Ir 0.5551 0.5550 0.8897  2 Si 2.43, 1 Ir 2.72
9 Ir 0.4449 0.4450 0.1103  2 Si 2.43, 1 Ir 2.72
10 Ir 0.2981 0.7990 0.4027  5 Si 2.44-2.52
11 Ir 0.7019 0.2010 0.5973  5 Si 2.44-2.52

Fermi-level density of states in states/eV/f.u.: 9.288
Space-group type: Immm



Which is the most stable structure? model i is the most stable.



Model i:
Computed, not measured: a relaxed AcSi3Ir3 crystal at the PBE level of DFT.

Cell lengths 6.6170, 6.6170, 6.6170 Å; angles 90.00, 90.00, 90.00 degrees
Last column: nearest neighbours and their distance in Å.
Atoms (fractional coordinates):
1 Ac 0.5000 0.5000 0.5000  12 Ir 3.70, 12 Si 3.70
2 Ac 0.0000 0.0000 0.0000  12 Ir 3.70, 12 Si 3.70
3 Ir 0.2500 0.0000 0.5000  4 Si 2.34
4 Ir 0.0000 0.5000 0.2500  4 Si 2.34
5 Ir 0.5000 0.7500 0.0000  4 Si 2.34
6 Ir 0.7500 0.0000 0.5000  4 Si 2.34
7 Ir 0.0000 0.5000 0.7500  4 Si 2.34
8 Ir 0.5000 0.2500 0.0000  4 Si 2.34
9 Si 0.0000 0.2500 0.5000  4 Ir 2.34
10 Si 0.0000 0.7500 0.5000  4 Ir 2.34
11 Si 0.5000 0.0000 0.7500  4 Ir 2.34
12 Si 0.7500 0.5000 0.0000  4 Ir 2.34
13 Si 0.5000 0.0000 0.2500  4 Ir 2.34
14 Si 0.2500 0.5000 0.0000  4 Ir 2.34

Fermi-level density of states in states/eV/f.u.: 5.057
Space-group type: Pm-3n



Model ii:
Computed, not measured: a relaxed AcSi3Ir3 crystal at the PBE level of DFT.

Cell lengths 6.7750, 6.7750, 8.3699 Å; angles 66.13, 66.13, 60.00 degrees
Last column: nearest neighbours and their distance in Å.
Atoms (fractional coordinates):
1 Ac 0.3260 0.3260 0.0219  6 Ir 3.21-3.48, 3 Si 3.24
2 Ac 0.6740 0.6740 0.9781  6 Ir 3.21-3.48, 3 Si 3.24
3 Si 0.1341 0.5783 0.3426  4 Ir 2.32-2.53
4 Si 0.9449 0.1341 0.3426  4 Ir 2.32-2.53
5 Si 0.5783 0.9449 0.3426  4 Ir 2.32-2.53
6 Si 0.4217 0.0551 0.6574  4 Ir 2.32-2.53
7 Si 0.0551 0.8659 0.6574  4 Ir 2.32-2.53
8 Si 0.8659 0.4217 0.6574  4 Ir 2.32-2.53
9 Ir 0.4580 0.6971 0.6555  4 Si 2.32-2.53
10 Ir 0.6971 0.1894 0.6555  4 Si 2.32-2.53
11 Ir 0.1894 0.4580 0.6555  4 Si 2.32-2.53
12 Ir 0.8106 0.5420 0.3445  4 Si 2.32-2.53
13 Ir 0.3029 0.8106 0.3445  4 Si 2.32-2.53
14 Ir 0.5420 0.3029 0.3445  4 Si 2.32-2.53

Fermi-level density of states in states/eV/f.u.: 2.362
Space-group type: R-3



Which is the most stable structure? model i is the most stable.